PBE RbPIrO, relaxed; total energy = -0.2032 hartree per atom; offset from the most stable computed form = 0.0 meV per atom
1.0
-1.086 3.645 0.002
-0.872 -0.256 -7.617
-6.183 -1.843 0.770
Ir O P Rb
2 2 2 2
Cartesian
-1.137 1.647 -3.233
-4.354 0.689 -3.942
-2.955 1.105 -2.615
-6.260 0.121 -4.097
-3.324 -0.988 -5.008
-6.064 -1.807 -1.549
-2.875 -0.857 -0.859
-6.564 -1.953 -5.692

---

PBE TbCdCuSe3, relaxed; total energy = -0.1546 hartree per atom; offset from the most stable computed form = 0.0 meV per atom
1.0
-6.718 -3.875 -0.206
0.140 -0.451 3.932
-3.055 8.768 1.114
Cd Cu Se Tb
2 2 6 2
Cartesian
-5.653 -0.398 1.153
-3.980 4.839 3.688
-4.000 1.745 3.334
-5.633 2.697 1.507
-6.454 -2.554 2.928
-3.366 -0.629 3.039
-3.074 3.183 1.472
-6.559 1.259 3.369
-6.268 5.070 1.802
-3.179 6.996 1.913
-1.749 0.682 1.138
-7.884 3.760 3.703

---

PBE InCoRePt, relaxed; total energy = -0.2466 hartree per atom; offset from the most stable computed form = 0.0 meV per atom
1.0
0.000 3.151 3.151
3.151 0.000 3.151
3.151 3.151 0.000
Co In Pt Re
1 1 1 1
Cartesian
4.726 4.726 4.726
0.000 0.000 0.000
1.576 1.576 1.576
3.151 3.151 3.151

---

PBE CdTePdO, relaxed; total energy = -0.1474 hartree per atom; offset from the most stable computed form = 49.1 meV per atom
1.0
6.762 0.000 0.000
0.000 13.555 0.000
0.000 0.000 6.918
Cd O Pd Te
8 8 8 8
Cartesian
0.303 3.121 1.309
3.078 9.899 1.309
3.683 3.121 2.150
6.459 9.899 2.150
0.303 3.656 4.768
3.078 10.434 4.768
3.683 3.656 5.608
6.459 10.434 5.608
2.296 3.509 0.506
1.085 10.287 0.506
5.677 3.509 2.953
4.466 10.287 2.953
2.296 3.269 3.965
1.085 10.046 3.965
5.677 3.269 6.412
4.466 10.046 6.412
5.045 1.170 0.236
5.097 7.948 0.236
1.664 1.170 3.222
1.716 7.948 3.222
5.045 5.607 3.695
5.097 12.385 3.695
1.664 5.607 6.681
1.716 12.385 6.681
6.741 6.561 1.698
3.401 13.338 1.698
3.360 6.561 1.761
0.021 13.338 1.761
6.741 0.217 5.157
3.401 6.995 5.157
3.360 0.217 5.219
0.021 6.995 5.219

---

PBE Lu2CdBi, relaxed; total energy = -0.1270 hartree per atom
1.0
1.200 0.653 5.242
-3.040 -2.391 3.793
1.999 -4.145 2.857
Bi Cd Lu
1 1 2
Cartesian
0.080 -2.942 5.946
0.040 -1.471 2.973
0.000 0.000 0.000
0.120 -4.412 8.919

---

PBE PaI2, relaxed; total energy = -0.1701 hartree per atom
1.0
8.036 0.000 0.000
0.000 8.036 0.000
0.000 0.000 3.797
I Pa
4 2
Cartesian
2.240 2.240 0.000
5.796 5.796 0.000
6.258 1.778 1.898
1.778 6.258 1.898
0.000 0.000 0.000
4.018 4.018 1.898

---

PBE AcGdAsO, relaxed; total energy = -0.2420 hartree per atom; offset from the most stable computed form = 36.7 meV per atom
1.0
-0.426 4.529 0.303
-1.060 0.197 -4.430
-9.159 -1.005 2.147
Ac As Gd O
2 2 2 2
Cartesian
-1.590 -0.018 -1.966
-8.311 1.376 2.050
-3.082 1.950 0.824
-6.819 -0.592 -0.741
-4.579 -0.503 1.074
-5.322 1.860 -0.990
0.000 0.000 0.000
-0.743 2.363 -2.063

---

PBE BeAlCuTc, relaxed; total energy = -0.2023 hartree per atom; offset from the most stable computed form = 0.0 meV per atom
1.0
-0.541 -4.057 0.053
-3.551 -1.574 1.291
-2.551 -1.760 -2.674
Al Be Cu Tc
1 1 1 1
Cartesian
0.000 0.000 0.000
-3.321 -3.695 -0.665
-4.982 -5.543 -0.997
-1.661 -1.848 -0.332

---

PBE Dy3Y3NiTe2, relaxed; total energy = -0.2103 hartree per atom; offset from the most stable computed form = 0.0 meV per atom
1.0
-3.403 3.343 -6.940
-3.467 -6.816 3.526
-2.263 2.297 2.216
Dy Ni Te Y
3 1 2 3
Cartesian
-1.942 1.945 -0.545
-1.957 -0.475 1.948
-6.365 -1.497 -1.492
0.000 0.000 0.000
-4.556 1.105 -2.343
-4.577 -2.281 1.146
-2.030 1.994 -4.139
-2.773 -1.402 -1.378
-2.068 -4.065 2.103

---

PBE Gd2NiIr, relaxed; total energy = -0.2410 hartree per atom
1.0
4.173 0.000 0.000
0.000 5.610 0.000
0.000 0.000 7.293
Gd Ir Ni
4 2 2
Cartesian
0.000 4.931 1.293
2.086 2.138 2.347
0.000 0.679 4.939
2.086 3.472 5.994
0.000 2.122 0.286
0.000 3.487 3.932
2.086 4.958 3.368
2.086 0.651 7.014

---

PBE PrThPb, relaxed; total energy = -0.1956 hartree per atom; offset from the most stable computed form = 0.0 meV per atom
1.0
0.000 3.784 3.784
3.784 0.000 3.784
3.784 3.784 0.000
Pb Pr Th
1 1 1
Cartesian
0.000 0.000 0.000
1.892 1.892 1.892
5.676 5.676 5.676

---

PBE PrErGe4Os2, relaxed; total energy = -0.2481 hartree per atom
1.0
-4.213 -1.497 -0.428
1.538 -3.921 -1.425
2.138 -2.008 7.833
Er Ge Os Pr
1 4 2 1
Cartesian
-0.339 -4.331 4.614
-2.830 -1.013 -0.266
-2.387 -4.224 2.111
1.068 -1.250 4.592
1.552 -4.423 6.910
-2.715 -3.514 -0.198
1.447 -1.925 6.860
-1.019 -1.181 2.150

---

PBE LuInFeTc, relaxed; total energy = -0.2324 hartree per atom; offset from the most stable computed form = 0.0 meV per atom
1.0
0.000 3.279 3.279
3.279 0.000 3.279
3.279 3.279 0.000
Fe In Lu Tc
1 1 1 1
Cartesian
4.919 4.919 4.919
0.000 0.000 0.000
3.279 3.279 3.279
1.640 1.640 1.640

---

PBE NaFeSnBi, relaxed; total energy = -0.1446 hartree per atom; offset from the most stable computed form = 216.2 meV per atom
1.0
0.000 3.655 3.655
3.655 0.000 3.655
3.655 3.655 0.000
Bi Fe Na Sn
1 1 1 1
Cartesian
1.828 1.828 1.828
3.655 3.655 3.655
5.483 5.483 5.483
0.000 0.000 0.000

---

PBE LaNdAl4Co2, relaxed; total energy = -0.1963 hartree per atom
1.0
-5.939 -0.568 -3.908
-1.721 -4.157 3.219
-2.998 -0.476 4.624
Al Co La Nd
4 2 1 1
Cartesian
-2.641 -0.963 0.121
-4.900 -1.179 -1.366
-5.075 -3.953 5.740
-8.690 -4.299 3.360
-1.368 -1.344 2.275
-6.343 -3.597 3.654
-2.589 -2.542 4.304
-5.084 -2.360 1.561

---

PBE Sc2SbOs3, relaxed; total energy = -0.2935 hartree per atom
1.0
-0.312 -0.067 -3.229
-1.417 -2.287 1.815
-9.215 6.311 0.760
Os Sb Sc
3 1 2
Cartesian
0.000 0.000 0.000
-4.142 0.572 0.389
-6.801 3.385 -1.043
-4.607 3.156 0.380
-2.188 0.226 -1.424
-8.756 3.732 0.769

---

PBE NdGeHO4, relaxed; total energy = -0.2507 hartree per atom; offset from the most stable computed form = 18.2 meV per atom
1.0
-2.843 4.132 -1.838
-9.767 -4.208 5.650
1.172 2.553 3.927
Ge H Nd O
4 4 4 16
Cartesian
-3.534 -1.011 3.196
-9.839 -1.049 5.102
-1.598 3.526 2.637
-5.060 -0.644 6.381
-3.074 1.866 1.188
-6.536 -2.304 4.932
-2.059 0.649 4.645
-8.364 0.611 6.552
-0.882 0.132 1.662
-7.187 0.094 3.568
-4.251 2.383 4.172
-7.712 -1.787 7.916
-3.048 0.834 0.512
-7.127 -2.439 3.857
-5.075 -0.577 2.523
-9.903 -2.761 5.383
-6.105 2.141 2.766
-11.044 0.117 5.555
-3.136 2.883 1.886
-8.823 1.948 4.191
-2.614 0.529 3.549
-8.302 -0.406 5.854
-0.394 2.360 2.185
-5.332 0.336 4.974
-1.534 5.238 2.357
-6.363 3.054 5.217
-4.311 4.916 3.883
-8.390 1.644 7.228

---

PBE ZnSbPd2, relaxed; total energy = -0.1535 hartree per atom
1.0
0.000 3.257 3.257
3.257 0.000 3.257
3.257 3.257 0.000
Pd Sb Zn
2 1 1
Cartesian
0.000 0.000 0.000
4.885 4.885 4.885
3.257 3.257 3.257
1.628 1.628 1.628

---

PBE Ho2ErSc3AgTe2, relaxed; total energy = -0.1945 hartree per atom
1.0
3.960 0.000 0.000
0.000 6.974 4.027
0.000 -6.974 4.027
Ag Er Ho Sc Te
1 1 2 3 2
Cartesian
0.000 0.000 8.046
0.000 0.000 4.852
0.000 2.780 1.606
0.000 -2.780 1.606
1.980 0.000 2.021
1.980 1.749 7.043
1.980 -1.749 7.043
1.980 2.321 4.028
1.980 -2.321 4.028

---

PBE SrAgTe2O6, relaxed; total energy = -0.1948 hartree per atom
1.0
-3.992 -2.734 -0.041
-3.992 2.734 -0.041
-0.012 0.000 -15.411
Ag O Sr Te
2 12 2 4
Cartesian
0.000 0.000 0.000
-0.006 0.000 -7.705
-4.412 -1.094 -1.396
-3.741 1.619 -1.838
-2.399 -0.431 -3.293
-5.590 -0.431 -4.495
-4.248 1.619 -5.950
-3.578 -1.094 -6.392
-4.417 1.094 -9.101
-3.747 -1.619 -9.544
-2.405 0.431 -10.999
-5.596 0.431 -12.200
-4.254 -1.619 -13.655
-3.584 1.094 -14.097
-3.995 -2.390 -3.894
-4.001 2.390 -11.599
-2.818 -0.009 -1.543
-5.172 -0.009 -6.246
-2.824 0.009 -9.248
-5.177 0.009 -13.951